Entry 1:
Na12LiPb6: optimized geometry, PBE.

Values from the calculation:
- Fermi-level density of states: 6.9 states/eV per cell
- Size of the total moment: 0.00 μB/cell
- DFT formation energy: -0.142 eV per atom
- SG: R-3

a = 8.314 Å, b = 8.314 Å, c = 8.314 Å
α = 88.10°, β = 88.10°, γ = 88.10°
Atoms (fractional coordinates):
1 Na 0.519 0.816 0.421
2 Na 0.380 0.142 0.040
3 Na 0.960 0.620 0.858
4 Na 0.184 0.579 0.481
5 Na 0.142 0.040 0.380
6 Na 0.579 0.481 0.184
7 Na 0.858 0.960 0.620
8 Na 0.421 0.519 0.816
9 Na 0.816 0.421 0.519
10 Na 0.620 0.858 0.960
11 Na 0.040 0.380 0.142
12 Na 0.481 0.184 0.579
13 Pb 0.254 0.879 0.743
14 Pb 0.743 0.254 0.879
15 Pb 0.746 0.121 0.257
16 Pb 0.257 0.746 0.121
17 Pb 0.879 0.743 0.254
18 Pb 0.121 0.257 0.746
19 Li 0.000 0.000 0.000

Entry 2:
NaLi6Pb2: optimized geometry, PBE.

Values from the calculation:
- Fermi-level density of states: 3.6 states/eV per cell
- Size of the total moment: 0.00 μB/cell
- DFT formation energy: -0.279 eV per atom
- SG: Pnnm

a = 4.832 Å, b = 8.430 Å, c = 8.699 Å
α = 90.00°, β = 90.00°, γ = 90.00°
Atoms (fractional coordinates):
1 Pb 0.500 0.837 0.743
2 Pb 0.500 0.163 0.257
3 Pb 0.000 0.663 0.243
4 Pb 0.000 0.337 0.757
5 Li 0.000 0.678 0.898
6 Li 0.000 0.658 0.583
7 Li 0.000 0.996 0.169
8 Li 0.500 0.842 0.083
9 Li 0.500 0.178 0.602
10 Li 0.500 0.158 0.917
11 Li 0.500 0.504 0.669
12 Li 0.500 0.496 0.331
13 Li 0.000 0.322 0.102
14 Li 0.500 0.822 0.398
15 Li 0.000 0.342 0.417
16 Li 0.000 0.004 0.831
17 Na 0.000 0.000 0.500
18 Na 0.500 0.500 0.000

Entry 3:
NaLi2Pb: optimized geometry, PBE.

Values from the calculation:
- Fermi-level density of states: 2.3 states/eV per cell
- Size of the total moment: 0.00 μB/cell
- DFT formation energy: -0.035 eV per atom
- SG: I-42d

a = 4.516 Å, b = 4.516 Å, c = 10.690 Å
α = 77.80°, β = 77.80°, γ = 90.00°
Atoms (fractional coordinates):
1 Pb 0.750 0.250 0.500
2 Pb 0.000 0.000 0.000
3 Na 0.500 0.500 0.000
4 Na 0.250 0.750 0.500
5 Li 0.681 0.125 0.250
6 Li 0.375 0.319 0.750
7 Li 0.069 0.625 0.250
8 Li 0.875 0.931 0.750